1.
# Mn5Co

Mn5Co after structural relaxation (PBEsol, Alexandria).

abc: 2.4393 3.9132 6.5156
angles: 90.00 100.79 90.00
Sites, in units of the cell vectors:
Co (0.0010, 0.0000, 0.0020)
Mn (0.2237, 0.5000, 0.4473)
Mn (0.3330, 0.0000, 0.6660)
Mn (0.5556, 0.5000, 0.1112)
Mn (0.6644, 0.0000, 0.3289)
Mn (0.8890, 0.5000, 0.7779)

Summary:
* VASP energy: -9.409 eV per atom
* ΔE_f: 0.015 eV/atom
* D(E_F): 7.6 states/eV/f.u.
* symmetry: Amm2

2.
# MoAs2SeCl

MoAs2SeCl after structural relaxation (PBEsol, Alexandria).

abc: 4.7378 4.8627 4.8627
angles: 90.00 90.00 90.00
Sites, in units of the cell vectors:
Mo (0.0000, 0.0000, 0.0000)
As (0.0000, 0.0000, 0.5000)
As (0.0000, 0.5000, 0.0000)
Se (0.5000, 0.0000, 0.0000)
Cl (0.5000, 0.5000, 0.5000)

Summary:
* VASP energy: -5.355 eV per atom
* formation energy (no corrections): 0.212 eV/atom
* D(E_F): 3.8 states/eV/f.u.
* symmetry: P4/mmm

3.
# Cs2Li2Zn

Cs2Li2Zn after structural relaxation (PBEsol, Alexandria).

abc: 6.3056 7.8788 7.8788
angles: 90.00 90.00 90.00
Sites, in units of the cell vectors:
Cs (0.5000, 0.1899, 0.6899)
Cs (0.5000, 0.6899, 0.8101)
Cs (0.5000, 0.8101, 0.3101)
Cs (0.5000, 0.3101, 0.1899)
Zn (0.0000, 0.0000, 0.0000)
Zn (0.0000, 0.5000, 0.5000)
Li (0.0000, 0.3493, 0.8493)
Li (0.0000, 0.8493, 0.6507)
Li (0.0000, 0.6507, 0.1507)
Li (0.0000, 0.1507, 0.3493)

Summary:
* VASP energy: -1.225 eV per atom
* ΔE_f: 0.255 eV/atom
* D(E_F): 4.1 states/eV/f.u.
* symmetry: P4/mbm

4.
# Ba2WO3F4

Ba2WO3F4 after structural relaxation (PBEsol, Alexandria).

abc: 7.1869 7.4024 7.4024
angles: 101.32 117.14 62.86
Sites, in units of the cell vectors:
Ba (0.5540, 0.5003, 0.2611)
Ba (0.0540, 0.7389, 0.4997)
Ba (0.8867, 0.5016, 0.8464)
Ba (0.3867, 0.1536, 0.4984)
W (0.0056, 0.9730, 0.9674)
W (0.5056, 0.0326, 0.0270)
O (0.3756, 0.2736, 0.9130)
O (0.8756, 0.0870, 0.7264)
O (0.2605, 0.0514, 0.0745)
O (0.7605, 0.9255, 0.9486)
O (0.6637, 0.0862, 0.2823)
O (0.1637, 0.7177, 0.9138)
F (0.6584, 0.7243, 0.1045)
F (0.1584, 0.8955, 0.2757)
F (0.9994, 0.4029, 0.5228)
F (0.4994, 0.4772, 0.5971)
F (0.8587, 0.2514, 0.0819)
F (0.3587, 0.9181, 0.7486)
F (0.6763, 0.7721, 0.5277)
F (0.1763, 0.4723, 0.2279)

Summary:
* VASP energy: -7.332 eV per atom
* formation energy (no corrections): -3.176 eV/atom
* D(E_F): 0.0 states/eV/f.u.
* symmetry: Cc

5.
# Mg3TeN

Mg3TeN after structural relaxation (PBEsol, Alexandria).

abc: 4.4079 4.4079 4.4079
angles: 90.00 90.00 90.00
Sites, in units of the cell vectors:
Mg (0.0000, 0.5000, 0.0000)
Mg (0.0000, 0.0000, 0.5000)
Mg (0.5000, 0.0000, 0.0000)
Te (0.5000, 0.5000, 0.5000)
N (0.0000, 0.0000, 0.0000)

Summary:
* VASP energy: -4.024 eV per atom
* formation energy (no corrections): -0.583 eV/atom
* D(E_F): 1.9 states/eV/f.u.
* symmetry: Pm-3m

6.
# Na2ZrTaSi

Na2ZrTaSi after structural relaxation (PBEsol, Alexandria).

abc: 4.7915 5.3701 5.3701
angles: 90.00 90.00 90.00
Sites, in units of the cell vectors:
Na (0.0000, 0.0000, 0.5000)
Na (0.0000, 0.5000, 0.0000)
Si (0.5000, 0.5000, 0.5000)
Zr (0.0000, 0.0000, 0.0000)
Ta (0.5000, 0.0000, 0.0000)

Summary:
* VASP energy: -4.177 eV per atom
* formation energy (no corrections): 1.860 eV/atom
* D(E_F): 5.2 states/eV/f.u.
* symmetry: P4/mmm

> Which of these has the lowest VASP energy?

Mn5Co

> Which of these has the highest VASP energy?

Cs2Li2Zn

> What is the formula in the first record?

Mn5Co

> The lowest D(E_F) belongs to which entry?

Ba2WO3F4